1.
A relaxed structure of HgAs3Pb. Source: the Alexandria database, functional GGA-PBEsol.

Cell and atoms, written as extended XYZ:
```
5
Lattice="5.352 0.000 0.000 0.000 5.352 0.000 0.000 0.000 5.352" Properties=species:S:1:pos:R:3 pbc="T T T"
Hg 0.000 0.000 0.000
As 0.000 2.676 2.676
As 2.676 0.000 2.676
As 2.676 2.676 0.000
Pb 2.676 2.676 2.676
```

Output
spin magnetization = 0.0 μB/cell
energy = -2.8180 eV/atom

---

2.
A relaxed structure of SrTa2Te. Source: the Alexandria database, functional GGA-PBEsol.

Cell and atoms, written as extended XYZ:
```
4
Lattice="3.260 0.000 0.000 0.000 5.478 0.000 -0.138 0.000 5.189" Properties=species:S:1:pos:R:3 pbc="T T T"
Sr 0.000 0.000 0.000
Ta 1.160 2.739 3.922
Ta 1.963 2.739 1.267
Te 1.561 0.000 2.594
```

Output
spin magnetization = 0.0 μB/cell
ΔE_f (raw) = 208 kJ/mol of formula units
energy = -7.0787 eV/atom

---

3.
A relaxed structure of LaNiH2Cl. Source: the Alexandria database, functional GGA-PBEsol.

Cell and atoms, written as extended XYZ:
```
5
Lattice="3.703 0.000 0.000 0.000 3.703 0.000 0.000 0.000 5.984" Properties=species:S:1:pos:R:3 pbc="T T T"
La 0.000 0.000 0.000
Ni 1.852 1.852 0.000
H 0.000 1.852 2.992
H 1.852 0.000 2.992
Cl 0.000 0.000 2.992
```

Output
spin magnetization = 0.0 μB/cell
energy = -3.5849 eV/atom

---

4.
A relaxed structure of MnIrBr2. Source: the Alexandria database, functional GGA-PBEsol.

Cell and atoms, written as extended XYZ:
```
16
Lattice="4.538 0.000 0.000 0.000 4.538 0.000 0.000 0.000 15.544" Properties=species:S:1:pos:R:3 pbc="T T T"
Mn 0.000 0.000 0.000
Mn 0.000 2.269 3.886
Mn 2.269 0.000 11.658
Mn 2.269 2.269 7.772
Ir 0.000 0.000 7.772
Ir 0.000 2.269 11.658
Ir 2.269 0.000 3.886
Ir 2.269 2.269 0.000
Br 1.097 1.135 9.715
Br 1.135 3.366 13.601
Br 1.135 3.441 5.829
Br 1.172 1.135 1.943
Br 3.366 3.404 1.943
Br 3.404 1.097 5.829
Br 3.404 1.172 13.601
Br 3.441 3.404 9.715
```

Output
distance to the lowest polymorph of the same formula = 442 meV/atom
spin magnetization = 16.2 μB/cell
ΔE_f (raw) = 240 kJ/mol of formula units
energy = -5.2083 eV/atom

---

5.
A relaxed structure of AgTe4Os. Source: the Alexandria database, functional GGA-PBEsol.

Cell and atoms, written as extended XYZ:
```
6
Lattice="0.000 4.262 4.262 4.262 0.000 4.262 4.262 4.262 0.000" Properties=species:S:1:pos:R:3 pbc="T T T"
Ag 0.000 0.000 0.000
Te 5.323 3.201 3.201
Te 3.201 5.323 3.201
Te 3.201 3.201 5.323
Te 5.323 5.323 5.323
Os 2.131 2.131 2.131
```

Output
spin magnetization = 2.6 μB/cell
ΔE_f (raw) = 846 kJ/mol of formula units
energy = -3.4779 eV/atom

---

6.
A relaxed structure of SrSbOs2. Source: the Alexandria database, functional GGA-PBEsol.

Cell and atoms, written as extended XYZ:
```
8
Lattice="8.181 0.000 0.000 0.000 4.411 0.000 -2.499 0.000 5.473" Properties=species:S:1:pos:R:3 pbc="T T T"
Sr 0.000 0.000 0.000
Sr 4.090 2.206 0.000
Sb -1.250 2.206 2.737
Sb 2.841 0.000 2.737
Os 0.241 0.000 3.019
Os 1.350 2.206 2.454
Os 4.331 2.206 3.019
Os 5.441 0.000 2.454
```

Output
spin magnetization = 0.0 μB/cell
ΔE_f (raw) = 172 kJ/mol of formula units
energy = -7.2615 eV/atom

---

7.
A relaxed structure of K4PH5S3O16. Source: the Alexandria database, functional GGA-PBEsol.

Cell and atoms, written as extended XYZ:
```
29
Lattice="7.217 0.000 0.000 0.580 7.486 0.000 0.325 2.440 7.154" Properties=species:S:1:pos:R:3 pbc="T T T"
K 0.000 0.000 0.000
K 0.859 4.673 3.188
K 3.201 6.259 6.314
K 5.747 8.251 4.024
P 3.571 0.173 0.231
H 2.199 1.783 1.748
H 3.332 5.733 1.058
H 4.261 3.407 5.318
H 5.281 6.578 1.904
H 5.813 2.889 1.425
S 1.859 8.401 3.560
S 4.454 4.478 3.019
S 7.076 6.184 6.788
O 0.411 4.603 0.444
O 0.583 5.484 5.727
O 0.542 1.582 4.635
O 0.996 7.513 2.762
O 1.722 2.105 2.636
O 3.073 7.718 4.013
O 2.793 1.441 0.478
O 3.201 6.413 0.264
O 3.391 4.652 1.990
O 3.814 4.416 4.357
O 4.587 2.664 5.982
O 5.310 7.410 1.247
O 5.397 5.636 2.953
O 5.215 3.228 2.789
O 5.876 6.886 6.333
O 6.266 2.552 0.560
```

Output
spin magnetization = 0.1 μB/cell
energy = -5.9562 eV/atom

---

8.
A relaxed structure of Li3V2O4F4. Source: the Alexandria database, functional GGA-PBEsol.

Cell and atoms, written as extended XYZ:
```
13
Lattice="6.329 0.000 0.000 0.000 3.497 0.000 -2.649 0.000 6.508" Properties=species:S:1:pos:R:3 pbc="T T T"
Li 0.000 0.000 0.000
Li -0.657 0.000 2.600
Li 3.148 1.748 4.038
V -0.297 1.748 5.192
V 2.865 0.000 1.428
O -0.763 1.748 3.605
O -0.302 0.000 5.709
O 2.767 1.748 0.923
O 3.199 0.000 3.045
F -2.261 1.748 5.735
F 0.949 0.000 1.633
F 1.522 1.748 4.895
F 4.734 0.000 0.956
```

Output
distance to the lowest polymorph of the same formula = 0 meV/atom
spin magnetization = 1.0 μB/cell
ΔE_f (raw) = -3311 kJ/mol of formula units
energy = -6.7841 eV/atom

---

9.
A relaxed structure of La7Te. Source: the Alexandria database, functional GGA-PBEsol.

Cell and atoms, written as extended XYZ:
```
8
Lattice="0.000 4.977 4.977 4.977 0.000 4.977 4.977 4.977 0.000" Properties=species:S:1:pos:R:3 pbc="T T T"
La 0.000 0.000 0.000
La 2.489 2.489 0.000
La 2.489 0.000 2.489
La 4.977 2.489 2.489
La 0.000 2.489 2.489
La 2.489 4.977 2.489
La 2.489 2.489 4.977
Te 4.977 4.977 4.977
```

Output
spin magnetization = 0.0 μB/cell
ΔE_f (raw) = -267 kJ/mol of formula units
energy = -5.4653 eV/atom

---

10.
A relaxed structure of ReNi3Cl. Source: the Alexandria database, functional GGA-PBEsol.

Cell and atoms, written as extended XYZ:
```
5
Lattice="4.490 0.000 0.000 0.000 4.490 0.000 0.000 0.000 4.490" Properties=species:S:1:pos:R:3 pbc="T T T"
Re 0.000 0.000 0.000
Ni 0.000 0.000 2.245
Ni 0.000 2.245 0.000
Ni 2.245 0.000 0.000
Cl 2.245 2.245 2.245
```

Output
spin magnetization = 0.0 μB/cell
ΔE_f (raw) = 745 kJ/mol of formula units
energy = -5.2183 eV/atom

---

11.
A relaxed structure of TcSb2Rh. Source: the Alexandria database, functional GGA-PBEsol.

Cell and atoms, written as extended XYZ:
```
12
Lattice="3.184 0.000 0.000 -1.592 2.757 0.000 0.000 0.000 24.120" Properties=species:S:1:pos:R:3 pbc="T T T"
Tc 0.000 0.000 0.000
Tc 0.000 1.838 16.080
Tc 1.592 0.919 8.040
Sb 0.000 0.000 6.043
Sb 0.000 0.000 18.077
Sb 0.000 1.838 10.037
Sb 0.000 1.838 22.122
Sb 1.592 0.919 1.997
Sb 1.592 0.919 14.082
Rh 0.000 0.000 12.060
Rh 0.000 1.838 4.020
Rh 1.592 0.919 20.100
```

Output
distance to the lowest polymorph of the same formula = 0 meV/atom
spin magnetization = 0.0 μB/cell
ΔE_f (raw) = 7 kJ/mol of formula units
energy = -7.1119 eV/atom

---

12.
A relaxed structure of SiOs3Pb. Source: the Alexandria database, functional GGA-PBEsol.

Cell and atoms, written as extended XYZ:
```
5
Lattice="4.418 0.000 0.000 0.000 4.418 0.000 0.000 0.000 4.418" Properties=species:S:1:pos:R:3 pbc="T T T"
Si 0.000 0.000 0.000
Os 0.000 0.000 2.209
Os 0.000 2.209 0.000
Os 2.209 0.000 0.000
Pb 2.209 2.209 2.209
```

Output
spin magnetization = 0.0 μB/cell
ΔE_f (raw) = 602 kJ/mol of formula units
energy = -8.0313 eV/atom